The following is a DFT calculation (GGA+U) of Na2CoPd2O6 after structural relaxation.

```
data_Na2CoPd2O6
_chemical_formula_sum 'Na2 Co1 Pd2 O6'
_cell_length_a 5.251
_cell_length_b 5.251
_cell_length_c 5.743
_cell_angle_alpha 99.46
_cell_angle_beta 99.46
_cell_angle_gamma 118.33
_symmetry_space_group_name_H-M 'P 1'
_symmetry_Int_Tables_number 1
loop_
_symmetry_equiv_pos_as_xyz
'x,y,z'
loop_
_atom_site_label
_atom_site_type_symbol
_atom_site_fract_x
_atom_site_fract_y
_atom_site_fract_z
_atom_site_occupancy
Na1 Na 0.170 0.830 0.000 1
Na2 Na 0.830 0.170 0.000 1
Co1 Co 0.000 0.000 0.500 1
Pd1 Pd 0.335 0.665 0.500 1
Pd2 Pd 0.665 0.335 0.500 1
O1 O 0.056 0.379 0.691 1
O2 O 0.246 0.246 0.312 1
O3 O 0.379 0.056 0.691 1
O4 O 0.621 0.944 0.309 1
O5 O 0.754 0.754 0.688 1
O6 O 0.944 0.621 0.309 1
```

Computed properties:
As for the energy: -57.49 eV per cell. For the spin magnetization, the calculation gives 0.9 μB per cell.